[1]
Compound: Pm7BI12
Source: the Alexandria database
Functional: PBE-GGA
Structure: relaxed

Unit cell a=15.8781 b=15.8781 c=10.6482 alpha=90.00 beta=90.00 gamma=120.00
Space group R-3 (No. 148, hexagonal axes)
One atom of each set of equivalent atoms:
Pm1 0.0000 0.0000 0.0000
Pm2 0.0427 0.8884 0.3564
B1 0.0000 0.0000 0.5000
I1 0.0223 0.4361 0.1639
I2 0.0516 0.8665 0.8376

Results
DOS(E_F), states/eV per cell: 33.34
Total moment, μB per atom: 0.084
E_form (uncorrected), eV/atom: -1.240

***

[2]
Compound: Pm4B2I5
Source: the Alexandria database
Functional: PBE-GGA
Structure: relaxed

Unit cell a=4.118 b=8.749 c=21.154 alpha=90.00 beta=90.00 gamma=90.00
Space group Immm (No. 71)
One atom of each set of equivalent atoms:
Pm1 0.000 0.000 0.150
Pm2 0.000 0.307 0.500
B1 0.000 0.000 0.037
I1 0.000 0.231 0.342
I2 0.000 0.500 0.000

Results
DOS(E_F), states/eV per cell: 9.99
Total moment, μB per atom: 0.000
E_form (uncorrected), eV/atom: -0.978

***

[3]
Compound: Pm4BI5
Source: the Alexandria database
Functional: PBE-GGA
Structure: relaxed

Unit cell a=19.370 b=4.167 c=8.881 alpha=90.00 beta=102.72 gamma=90.00
Space group C2/m (No. 12)
One atom of each set of equivalent atoms:
Pm1 0.001 0.000 0.300
Pm2 0.138 0.500 0.570
B1 0.000 0.500 0.500
I1 0.000 0.500 0.000
I2 0.166 0.000 0.843
I3 0.172 0.000 0.324

Results
DOS(E_F), states/eV per cell: 10.82
Polymorph energy (0 for the lowest one), eV/atom: 0.000
Total moment, μB per atom: 0.000
E_form (uncorrected), eV/atom: -1.105

***

[4]
Compound: Pm2BI
Source: the Alexandria database
Functional: PBE-GGA
Structure: relaxed

Unit cell a=4.0593 b=4.0593 c=22.9208 alpha=90.00 beta=90.00 gamma=120.00
Space group R-3m (No. 166, hexagonal axes)
One atom of each set of equivalent atoms:
Pm1 0.0000 0.0000 0.2267
B1 0.0000 0.0000 0.5000
I1 0.0000 0.0000 0.0000

Results
DOS(E_F), states/eV per cell: 13.18
Total moment, μB per atom: 0.000
E_form (uncorrected), eV/atom: -0.565

***

Please write out number 3 again, unchanged.
Compound: Pm4BI5
Source: the Alexandria database
Functional: PBE-GGA
Structure: relaxed

Unit cell a=19.370 b=4.167 c=8.881 alpha=90.00 beta=102.72 gamma=90.00
Space group C2/m (No. 12)
One atom of each set of equivalent atoms:
Pm1 0.001 0.000 0.300
Pm2 0.138 0.500 0.570
B1 0.000 0.500 0.500
I1 0.000 0.500 0.000
I2 0.166 0.000 0.843
I3 0.172 0.000 0.324

Results
DOS(E_F), states/eV per cell: 10.82
Polymorph energy (0 for the lowest one), eV/atom: 0.000
Total moment, μB per atom: 0.000
E_form (uncorrected), eV/atom: -1.105